The following is a PBE calculation of a relaxed PaNiIrRh crystal, from Alexandria via LeMat-Bulk.

Space group: No. 47
ΔE_f in kJ per mole of atoms: -74.8

Cell lengths 3.9392, 4.0740, 4.0364 Å; angles 90.00, 90.00, 90.00 degrees
Sites, in units of the cell vectors:
Pa  0.0000  0.5000  0.5000
Rh  0.5000  0.5000  0.0000
Ni  0.0000  0.0000  0.0000
Ir  0.5000  0.0000  0.5000



The following is a PBE calculation of a relaxed Cs3HfS4 crystal, from Alexandria via LeMat-Bulk.

Polymorph energy (0 for the lowest one) in eV/atom: 0.000
Space group: No. 5
Formation energy without anion corrections in eV per formula unit: -9.53

Cell lengths 8.4561, 7.9256, 7.9256 Å; angles 65.17, 55.86, 55.86 degrees
Last column: magnetic moment on the atom in μB.
Sites, in units of the cell vectors:
Cs  0.0000  0.0672  0.9328  0.00
Cs  0.2386  0.2921  0.2172  0.01
Cs  0.7614  0.7828  0.7079  0.01
S  0.2133  0.8364  0.5061  0.18
S  0.6206  0.4232  0.7451  0.15
S  0.7867  0.4939  0.1636  0.18
S  0.3794  0.2549  0.5768  0.15
Hf  0.5000  0.5005  0.4995  -0.05



The following is a PBE calculation of a relaxed ReOsS3 crystal, from Alexandria via LeMat-Bulk.

Polymorph energy (0 for the lowest one) in eV/atom: 0.099
Space group: No. 221
Formation energy without anion corrections in eV per formula unit: 7.66

Cell lengths 4.5062, 4.5062, 4.5062 Å; angles 90.00, 90.00, 90.00 degrees
Sites, in units of the cell vectors:
S  0.0000  0.5000  0.0000
S  0.5000  0.0000  0.0000
S  0.0000  0.0000  0.5000
Re  0.5000  0.5000  0.5000
Os  0.0000  0.0000  0.0000



The following is a PBE calculation of a relaxed SrSc crystal, from Alexandria via LeMat-Bulk.

Polymorph energy (0 for the lowest one) in eV/atom: 0.273
Space group: No. 70
ΔE_f in kJ per mole of atoms: 45.1

Cell lengths 10.6125, 18.2000, 6.2928 Å; angles 90.00, 90.00, 90.00 degrees
Last column: magnetic moment on the atom in μB.
Sites, in units of the cell vectors:
Sc  0.7500  0.1686  0.2500  0.23
Sc  0.0000  0.9186  0.0000  0.23
Sc  0.7500  0.6686  0.7500  0.23
Sc  0.0000  0.0814  0.0000  0.23
Sc  0.7500  0.8314  0.7500  0.23
Sc  0.5000  0.0814  0.5000  0.23
Sc  0.5000  0.9186  0.5000  0.23
Sc  0.2500  0.6686  0.2500  0.23
Sc  0.0000  0.5814  0.5000  0.23
Sc  0.5000  0.4186  0.0000  0.23
Sc  0.2500  0.8314  0.2500  0.23
Sc  0.5000  0.5814  0.0000  0.23
Sc  0.7500  0.3314  0.2500  0.23
Sc  0.2500  0.3314  0.7500  0.23
Sc  0.2500  0.1686  0.7500  0.23
Sc  0.0000  0.4186  0.5000  0.23
Sr  0.9147  0.2500  0.7500  0.03
Sr  0.1647  0.0000  0.5000  0.03
Sr  0.5853  0.7500  0.2500  0.03
Sr  0.3353  0.5000  0.5000  0.03
Sr  0.0853  0.2500  0.2500  0.03
Sr  0.8353  0.0000  0.5000  0.03
Sr  0.4147  0.7500  0.7500  0.03
Sr  0.6647  0.5000  0.5000  0.03
Sr  0.8353  0.5000  0.0000  0.03
Sr  0.1647  0.5000  0.0000  0.03
Sr  0.5853  0.2500  0.7500  0.03
Sr  0.4147  0.2500  0.2500  0.03
Sr  0.9147  0.7500  0.2500  0.03
Sr  0.0853  0.7500  0.7500  0.03
Sr  0.6647  0.0000  0.0000  0.03
Sr  0.3353  0.0000  0.0000  0.03



The following is a PBE calculation of a relaxed Co2Ni2Pb crystal, from Alexandria via LeMat-Bulk.

Polymorph energy (0 for the lowest one) in eV/atom: 0.008
Space group: No. 139
ΔE_f in kJ per mole of atoms: 38.4

Cell lengths 3.6592, 3.6592, 5.9989 Å; angles 72.24, 72.24, 90.00 degrees
Last column: magnetic moment on the atom in μB.
Sites, in units of the cell vectors:
Ni  0.7500  0.2500  0.5000  0.66
Ni  0.2500  0.7500  0.5000  0.66
Pb  0.0000  0.0000  0.0000  -0.01
Co  0.3928  0.3928  0.2145  1.56
Co  0.6072  0.6072  0.7855  1.56



The following is a PBE calculation of a relaxed PrHoGa crystal, from Alexandria via LeMat-Bulk.

Polymorph energy (0 for the lowest one) in eV/atom: 0.144
Space group: No. 156
ΔE_f in kJ per mole of atoms: -25.0

Cell lengths 3.8599, 5.0037, 5.0037 Å; angles 120.00, 90.00, 90.00 degrees
Sites, in units of the cell vectors:
Ga  0.2646  0.3333  0.6667
Pr  0.6368  0.6667  0.3333
Ho  0.0986  0.0000  0.0000



The following is a PBE calculation of a relaxed Ca2NdCd crystal, from Alexandria via LeMat-Bulk.

Polymorph energy (0 for the lowest one) in eV/atom: 0.082
Space group: No. 38
ΔE_f in kJ per mole of atoms: -6.1

Cell lengths 3.7734, 3.6515, 10.3770 Å; angles 100.13, 90.00, 90.00 degrees
Last column: magnetic moment on the atom in μB.
Sites, in units of the cell vectors:
Nd  0.0000  0.2742  0.5484  0.12
Ca  0.5000  0.1147  0.2295  0.00
Ca  0.0000  0.4691  0.9382  0.00
Cd  0.5000  0.8713  0.7426  0.00



The following is a PBE calculation of a relaxed Sr3Pa3IrN8 crystal, from Alexandria via LeMat-Bulk.

Space group: No. 166
Formation energy without anion corrections in eV per formula unit: -15.48

Cell lengths 6.9730, 6.9732, 7.1866 Å; angles 119.02, 90.00, 120.00 degrees
Sites, in units of the cell vectors:
N  0.7710  0.0420  0.3131
N  0.2711  0.0420  0.3131
N  0.7710  0.5420  0.3131
N  0.7360  0.4719  0.7078
N  0.2640  0.5281  0.2922
N  0.7289  0.9580  0.6869
N  0.2290  0.4580  0.6869
N  0.2290  0.9580  0.6869
Ir  0.0000  0.0000  0.5000
Sr  0.0000  0.0000  0.0000
Sr  0.0000  0.5000  0.0000
Sr  0.5000  0.5000  0.0000
Pa  0.5000  0.5000  0.5000
Pa  0.0000  0.5000  0.5000
Pa  0.5000  0.0000  0.5000



The following is a PBE calculation of a relaxed CaNd2HoAs4 crystal, from Alexandria via LeMat-Bulk.

Space group: No. 10
ΔE_f in kJ per mole of atoms: -129.8

Cell lengths 4.2279, 7.2785, 7.3523 Å; angles 70.41, 90.00, 90.00 degrees
Sites, in units of the cell vectors:
Ca  0.5000  0.5000  0.0000
Ho  0.0000  0.5000  0.5000
As  0.5000  0.7427  0.2573
As  0.5000  0.2574  0.7427
As  0.0000  0.2532  0.2546
As  0.0000  0.7468  0.7454
Nd  0.0000  0.0000  0.0000
Nd  0.5000  0.0000  0.5000



The following is a PBE calculation of a relaxed Ga2Si2Au crystal, from Alexandria via LeMat-Bulk.

Polymorph energy (0 for the lowest one) in eV/atom: 0.023
Space group: No. 139
Formation energy without anion corrections in eV per formula unit: 0.82

Cell lengths 3.4106, 3.4106, 8.1025 Å; angles 77.85, 77.85, 90.00 degrees
Sites, in units of the cell vectors:
Si  0.2500  0.7500  0.5000
Si  0.7500  0.2500  0.5000
Ga  0.3992  0.3992  0.2016
Ga  0.6008  0.6008  0.7984
Au  0.0000  0.0000  0.0000



The following is a PBE calculation of a relaxed AuCl4 crystal, from Alexandria via LeMat-Bulk.

Space group: No. 221
Formation energy without anion corrections in eV per formula unit: 1.10

Cell lengths 4.9928, 4.9928, 4.9928 Å; angles 90.00, 90.00, 90.00 degrees
Last column: magnetic moment on the atom in μB.
Sites, in units of the cell vectors:
Au  0.5000  0.5000  0.5000  0.06
Cl  0.5000  0.5000  0.0000  0.14
Cl  0.0000  0.5000  0.5000  0.14
Cl  0.0000  0.0000  0.0000  0.72
Cl  0.5000  0.0000  0.5000  0.14



The following is a PBE calculation of a relaxed Fe3AgBr crystal, from Alexandria via LeMat-Bulk.

Polymorph energy (0 for the lowest one) in eV/atom: 0.000
Space group: No. 221
Formation energy without anion corrections in eV per formula unit: 5.44

Cell lengths 4.3753, 4.3753, 4.3753 Å; angles 90.00, 90.00, 90.00 degrees
Last column: magnetic moment on the atom in μB.
Sites, in units of the cell vectors:
Fe  0.0000  0.5000  0.0000  2.13
Fe  0.0000  0.0000  0.5000  2.00
Fe  0.5000  0.0000  0.0000  2.33
Br  0.0000  0.0000  0.0000  -0.05
Ag  0.5000  0.5000  0.5000  -0.05